Record 1
Density functional theory data (PBE) for an optimized crystal structure of AlPtRh4.

For the formation energy, the calculation gives -0.320 eV per atom. The volume comes out at 172.6 Å³ per cell. The size of the total moment is 0.00 μB/cell.

```
AlPtRh4
1.0
5.2088 0.0000 0.0000
-2.3412 4.6646 0.0000
-0.6455 -1.2620 7.1042
Al Pt Rh
2 2 8
Direct
0.1758 0.4267 0.2172
0.8242 0.5733 0.7828
0.0096 0.2663 0.5586
0.9904 0.7337 0.4414
0.1492 0.9017 0.1089
0.3250 0.0682 0.7780
0.3556 0.5967 0.8867
0.4851 0.2384 0.4489
0.5149 0.7616 0.5511
0.6444 0.4033 0.1133
0.6750 0.9318 0.2220
0.8508 0.0983 0.8911
```

Record 2
Density functional theory data (PBE) for an optimized crystal structure of Al5Pt2Rh.

For the formation energy, the calculation gives -0.749 eV per atom. The volume comes out at 508.2 Å³ per cell. The size of the total moment is 0.00 μB/cell.

```
Al5Pt2Rh
1.0
12.5389 0.0000 0.0000
0.0000 5.6568 0.0000
0.0000 0.0000 7.1645
Al Pt Rh
20 8 4
Direct
0.0031 0.2500 0.0849
0.1313 0.5107 0.3320
0.1313 0.9893 0.3320
0.1479 0.2500 0.6736
0.1957 0.7500 0.6737
0.3043 0.2500 0.1737
0.3521 0.7500 0.1736
0.3687 0.0107 0.8320
0.3687 0.4893 0.8320
0.4969 0.7500 0.5849
0.5031 0.2500 0.4151
0.6313 0.5107 0.1680
0.6313 0.9893 0.1680
0.6479 0.2500 0.8264
0.6957 0.7500 0.8263
0.8043 0.2500 0.3263
0.8521 0.7500 0.3264
0.8687 0.0107 0.6680
0.8687 0.4893 0.6680
0.9969 0.7500 0.9151
0.1703 0.5024 0.9777
0.1703 0.9976 0.9777
0.3297 0.0024 0.4777
0.3297 0.4976 0.4777
0.6703 0.5024 0.5223
0.6703 0.9976 0.5223
0.8297 0.0024 0.0223
0.8297 0.4976 0.0223
0.0120 0.7500 0.5427
0.4880 0.2500 0.0427
0.5120 0.7500 0.9573
0.9880 0.2500 0.4573
```

Record 3
Density functional theory data (PBE) for an optimized crystal structure of Al2PtRh.

For the formation energy, the calculation gives -0.868 eV per atom. The volume comes out at 57.7 Å³ per cell. The size of the total moment is 0.00 μB/cell.

```
Al2PtRh
1.0
-1.8220 1.8220 4.3473
1.8220 -1.8220 4.3473
1.8220 1.8220 -4.3473
Al Pt Rh
2 1 1
Direct
0.0000 0.0000 0.0000
0.7500 0.2500 0.5000
0.2500 0.7500 0.5000
0.5000 0.5000 0.0000
```

Record 4
Density functional theory data (PBE) for an optimized crystal structure of Al2PtRh.

For the formation energy, the calculation gives -0.793 eV per atom. The volume comes out at 59.6 Å³ per cell. The size of the total moment is 0.00 μB/cell.

```
Al2PtRh
1.0
3.3025 0.0000 0.0000
0.0000 3.3025 0.0000
0.0000 0.0000 5.4675
Al Pt Rh
2 1 1
Direct
0.0000 0.0000 0.0000
0.5000 0.5000 0.2966
0.0000 0.0000 0.4810
0.5000 0.5000 0.8241
```

What is the size of the total moment in the fourth record?
0.00 μB/cell